CdTePd4, relaxed, DFT PBE; symmetry = I4_1md, No. 109; E_form (uncorrected) = 0.232 eV/atom; calculated volume = 23.5 A^3/atom; magnetization = 0.00 Bohr magnetons per cell; VASP energy = -46.9 eV per cell
1.0
-5.854 2.511 -3.310
0.913 -6.429 -3.060
-0.761 -0.377 7.128
Cd Te Pd
2 2 8
Cartesian
-1.225 -0.971 -1.579
-5.767 -0.884 -1.263
-3.716 -2.946 -4.790
-3.317 1.059 1.896
-4.465 -1.090 1.109
-1.183 -5.597 1.079
-2.139 -2.744 3.219
-4.519 1.345 -0.346
-4.469 -4.636 0.140
-0.220 -6.007 -2.312
-1.236 -3.246 -0.326
-3.663 -1.630 -2.590


CdTe2Pd, relaxed, DFT PBE; symmetry = I-42d, No. 122; E_form (uncorrected) = -0.230 eV/atom; calculated volume = 31.8 A^3/atom; magnetization = 0.00 Bohr magnetons per cell; VASP energy = -26.6 eV per cell
1.0
-2.131 -0.204 -5.988
1.981 -6.022 -0.500
-5.661 -5.122 -1.187
Te Cd Pd
4 2 2
Cartesian
-4.446 -9.080 -6.550
-4.233 -6.385 -3.341
-0.518 -5.077 -1.566
-2.426 -2.154 -3.893
-3.934 -4.219 -5.210
0.000 0.000 0.000
-1.878 -7.128 -2.465
-0.075 -3.113 -3.244


CdTePd6, relaxed, DFT PBE; symmetry = P4/mmm, No. 123; E_form (uncorrected) = -0.251 eV/atom; calculated volume = 16.6 A^3/atom; magnetization = 0.00 Bohr magnetons per cell; VASP energy = -37.2 eV per cell; excess energy over the best structure of this formula in the dataset = 0.000 eV per atom
1.0
-0.442 -4.009 0.423
0.209 -0.448 -4.025
8.034 -0.831 0.509
Pd Te Cd
6 1 1
Cartesian
-0.116 -2.228 -1.801
6.116 -0.846 -1.632
1.802 -2.214 0.340
2.127 -0.433 -1.884
3.901 -2.644 -1.546
5.790 -2.626 0.592
4.017 -0.416 0.255
0.000 0.000 0.000


Cd3TePd, relaxed, DFT PBE; symmetry = Pm-3m, No. 221; E_form (uncorrected) = 0.061 eV/atom; calculated volume = 28.0 A^3/atom; magnetization = 0.00 Bohr magnetons per cell; VASP energy = -10.8 eV per cell; excess energy over the best structure of this formula in the dataset = 0.000 eV per atom
1.0
5.193 0.000 0.000
0.000 5.193 0.000
0.000 0.000 5.193
Cd Pd Te
3 1 1
Cartesian
0.000 2.596 0.000
0.000 0.000 2.596
2.596 0.000 0.000
0.000 0.000 0.000
2.596 2.596 2.596


CdTe2Pd, relaxed, DFT PBE; symmetry = R-3m, No. 166; E_form (uncorrected) = -0.151 eV/atom; calculated volume = 31.0 A^3/atom; magnetization = 0.00 Bohr magnetons per cell; VASP energy = -13.0 eV per cell
1.0
2.388 0.000 8.376
-1.194 2.068 8.376
-1.194 -2.068 8.376
Pd Cd Te
1 1 2
Cartesian
0.000 0.000 12.565
0.000 0.000 0.000
0.000 0.000 22.308
0.000 0.000 2.821


Cd2TePd2, relaxed, DFT PBE; symmetry = P4/mbm, No. 127; E_form (uncorrected) = -0.151 eV/atom; calculated volume = 20.3 A^3/atom; magnetization = 0.00 Bohr magnetons per cell; VASP energy = -32.2 eV per cell; excess energy over the best structure of this formula in the dataset = 0.117 eV per atom
1.0
8.107 0.000 0.000
0.000 8.107 0.000
0.000 0.000 3.094
Cd Pd Te
4 4 2
Cartesian
5.211 1.157 0.000
6.950 5.211 0.000
2.897 6.950 0.000
1.157 2.897 0.000
1.207 5.260 1.547
6.900 2.847 1.547
2.847 1.207 1.547
5.260 6.900 1.547
0.000 0.000 0.000
4.054 4.054 0.000


TlCdTePd2, relaxed, DFT PBE; symmetry = P4/mmm, No. 123; E_form (uncorrected) = 0.542 eV/atom; calculated volume = 27.8 A^3/atom; magnetization = 0.00 Bohr magnetons per cell; VASP energy = -14.1 eV per cell
1.0
5.090 0.000 0.000
0.000 5.363 0.000
0.000 0.000 5.090
Pd Cd Tl Te
2 1 1 1
Cartesian
0.000 0.000 2.545
2.545 0.000 0.000
0.000 0.000 0.000
0.000 2.682 0.000
2.545 2.682 2.545


TlCdTe2Pd, relaxed, DFT PBE; symmetry = P4/mmm, No. 123; E_form (uncorrected) = 0.064 eV/atom; calculated volume = 31.0 A^3/atom; magnetization = 0.00 Bohr magnetons per cell; VASP energy = -14.4 eV per cell
1.0
-2.060 -4.421 -2.326
3.657 -2.985 2.436
-3.334 -0.657 4.201
Tl Te Cd Pd
1 2 1 1
Cartesian
1.829 -1.493 1.218
-1.030 -2.210 -1.163
-1.667 -0.328 2.100
-0.868 -4.031 2.156
0.000 0.000 0.000